[1]
A plane-wave DFT calculation with PBE-GGA was carried out for crystalline La3BiRu at its relaxed geometry.

extended XYZ file:
```
10
Lattice="8.691 0.000 0.000 0.000 4.655 0.000 -4.300 0.000 7.772" Properties=species:S:1:pos:R:3 pbc="T T T"
La 0.000 0.000 0.000
La -2.715 2.328 5.433
La 0.136 2.328 3.367
La 0.114 0.000 6.657
La 3.737 0.000 3.288
La 5.922 2.328 1.258
Bi 2.528 2.328 0.966
Bi 2.637 2.328 5.667
Ru -1.410 0.000 4.652
Ru 6.758 0.000 2.076
```

Results
The formation energy comes out at -569 meV per atom. As for the offset from the most stable computed form: 0.0201 eV/atom. For the total magnetization, the calculation gives 0.00 μB per formula unit. Its space-group type is Pm, No. 6. The theoretical density is 7.68 g/cm³.



[2]
A plane-wave DFT calculation with PBE-GGA was carried out for crystalline La3BiRu at its relaxed geometry.

extended XYZ file:
```
10
Lattice="4.131 2.385 5.530 -4.131 2.385 5.530 0.000 -4.771 5.530" Properties=species:S:1:pos:R:3 pbc="T T T"
La -3.148 -0.086 6.965
La -1.500 -2.769 9.627
La 1.648 -2.683 6.965
La -1.648 2.683 9.627
La 1.500 2.769 6.965
La 3.148 0.086 9.627
Bi 0.000 0.000 6.340
Bi 0.000 0.000 10.251
Ru 0.000 0.000 1.479
Ru 0.000 0.000 15.112
```

Results
The formation energy comes out at -312 meV per atom. As for the offset from the most stable computed form: 0.2774 eV/atom. For the total magnetization, the calculation gives 0.00 μB per formula unit. Its space-group type is R-3, No. 148. The theoretical density is 7.38 g/cm³.



[3]
A plane-wave DFT calculation with PBE-GGA was carried out for crystalline La8BiRu2 at its relaxed geometry.

extended XYZ file:
```
11
Lattice="4.445 -7.119 0.000 4.445 7.119 0.000 -1.280 0.000 5.531" Properties=species:S:1:pos:R:3 pbc="T T T"
La -0.175 0.000 4.395
La 2.050 1.792 2.493
La 4.445 3.569 0.000
La 2.050 -1.792 2.493
La 5.560 1.792 3.038
La 4.445 -3.569 0.000
La 5.560 -1.792 3.038
La 7.784 0.000 1.136
Bi 4.445 0.000 0.000
Ru 3.805 4.080 2.765
Ru 3.805 -4.080 2.765
```

Results
The formation energy comes out at -278 meV per atom. For the total magnetization, the calculation gives 0.00 μB per formula unit. Its space-group type is C2/m, No. 12. The theoretical density is 7.22 g/cm³.